Run one
Here is crystalline MnNi2HOs at its relaxed geometry from Alexandria via LeMat-Bulk. Energies are from GGA-PBE.

Computed properties:
Theoretical density: 11.78 g cm⁻³
Crystal system: tetragonal

Cell: 3.668 3.668 3.808 Å, 90.00 90.00 90.00°
Space group P4/mmm (No. 123)
Unique sites:
1 Mn 0.000 0.000 0.000
2 Ni 0.000 0.500 0.500
3 H 0.500 0.500 0.500
4 Os 0.500 0.500 0.000

---

Run two
Here is crystalline MnNi2HOs at its relaxed geometry from Alexandria via LeMat-Bulk. Energies are from GGA-PBE.

Computed properties:
Theoretical density: 12.12 g cm⁻³
Crystal system: tetragonal

Cell: 3.604 3.604 3.834 Å, 90.00 90.00 90.00°
Space group P4/mmm (No. 123)
Unique sites:
1 Mn 0.000 0.000 0.000
2 Ni 0.000 0.500 0.500
3 H 0.000 0.000 0.500
4 Os 0.500 0.500 0.000

---

It is run one that is the most stable of them.

---

Run one
Here is crystalline MnNiHPd2 at its relaxed geometry from Alexandria via LeMat-Bulk. Energies are from GGA-PBE.

Computed properties:
Theoretical density: 9.26 g cm⁻³
Crystal system: tetragonal

Cell: 3.982 3.982 3.702 Å, 90.00 90.00 90.00°
Space group P4/mmm (No. 123)
Unique sites:
1 Mn 0.000 0.000 0.000
2 Ni 0.500 0.500 0.000
3 H 0.500 0.500 0.500
4 Pd 0.000 0.500 0.500

---

Run two
Here is crystalline MnNiHPd2 at its relaxed geometry from Alexandria via LeMat-Bulk. Energies are from GGA-PBE.

Computed properties:
Theoretical density: 9.21 g cm⁻³
Crystal system: tetragonal

Cell: 3.884 3.884 3.914 Å, 90.00 90.00 90.00°
Space group P4/mmm (No. 123)
Unique sites:
1 Mn 0.000 0.000 0.000
2 Ni 0.500 0.500 0.000
3 H 0.000 0.000 0.500
4 Pd 0.000 0.500 0.500

---

It is run one that is the most stable of them.

---

Run one
Here is crystalline Mn2NiHPt at its relaxed geometry from Alexandria via LeMat-Bulk. Energies are from GGA-PBE.

Computed properties:
Theoretical density: 10.70 g cm⁻³
Crystal system: tetragonal

Cell: 3.973 3.973 3.583 Å, 90.00 90.00 90.00°
Space group P4/mmm (No. 123)
Unique sites:
1 Mn 0.000 0.500 0.000
2 Ni 0.000 0.000 0.500
3 H 0.000 0.000 0.000
4 Pt 0.500 0.500 0.500

---

Run two
Here is crystalline Mn2NiHPt at its relaxed geometry from Alexandria via LeMat-Bulk. Energies are from GGA-PBE.

Computed properties:
Theoretical density: 10.43 g cm⁻³
Crystal system: tetragonal

Cell: 3.959 3.959 3.705 Å, 90.00 90.00 90.00°
Space group P4/mmm (No. 123)
Unique sites:
1 Mn 0.000 0.500 0.000
2 Ni 0.000 0.000 0.500
3 H 0.500 0.500 0.000
4 Pt 0.500 0.500 0.500

---

It is run one that is the most stable of them.

---

Run one
Here is crystalline MnNi2HPt at its relaxed geometry from Alexandria via LeMat-Bulk. Energies are from GGA-PBE.

Computed properties:
Theoretical density: 11.56 g cm⁻³
Crystal system: tetragonal

Cell: 3.702 3.702 3.861 Å, 90.00 90.00 90.00°
Space group P4/mmm (No. 123)
Unique sites:
1 Mn 0.000 0.000 0.000
2 Ni 0.000 0.500 0.500
3 H 0.000 0.000 0.500
4 Pt 0.500 0.500 0.000

---

Run two
Here is crystalline MnNi2HPt at its relaxed geometry from Alexandria via LeMat-Bulk. Energies are from GGA-PBE.

Computed properties:
Theoretical density: 11.32 g cm⁻³
Crystal system: tetragonal

Cell: 3.756 3.756 3.830 Å, 90.00 90.00 90.00°
Space group P4/mmm (No. 123)
Unique sites:
1 Mn 0.000 0.000 0.000
2 Ni 0.000 0.500 0.500
3 H 0.500 0.500 0.500
4 Pt 0.500 0.500 0.000

---

It is run one that is the most stable of them.

---

Run one
Here is crystalline Mn2ReNiH at its relaxed geometry from Alexandria via LeMat-Bulk. Energies are from GGA-PBE.

Computed properties:
Theoretical density: 12.10 g cm⁻³
Crystal system: tetragonal

Cell: 3.711 3.711 3.546 Å, 90.00 90.00 90.00°
Space group P4/mmm (No. 123)
Unique sites:
1 Mn 0.000 0.500 0.000
2 Re 0.000 0.000 0.500
3 Ni 0.500 0.500 0.500
4 H 0.500 0.500 0.000

---

Run two
Here is crystalline Mn2ReNiH at its relaxed geometry from Alexandria via LeMat-Bulk. Energies are from GGA-PBE.

Computed properties:
Theoretical density: 11.67 g cm⁻³
Crystal system: tetragonal

Cell: 3.666 3.666 3.768 Å, 90.00 90.00 90.00°
Space group P4/mmm (No. 123)
Unique sites:
1 Mn 0.000 0.500 0.000
2 Re 0.000 0.000 0.500
3 Ni 0.500 0.500 0.500
4 H 0.000 0.000 0.000

---

It is run one that is the most stable of them.

---

Run one
Here is crystalline MnNi2HRh at its relaxed geometry from Alexandria via LeMat-Bulk. Energies are from GGA-PBE.

Computed properties:
Theoretical density: 8.97 g cm⁻³
Crystal system: tetragonal

Cell: 3.640 3.640 3.861 Å, 90.00 90.00 90.00°
Space group P4/mmm (No. 123)
Unique sites:
1 Mn 0.000 0.000 0.000
2 Ni 0.000 0.500 0.500
3 H 0.000 0.000 0.500
4 Rh 0.500 0.500 0.000

---

Run two
Here is crystalline MnNi2HRh at its relaxed geometry from Alexandria via LeMat-Bulk. Energies are from GGA-PBE.

Computed properties:
Theoretical density: 8.83 g cm⁻³
Crystal system: tetragonal

Cell: 3.689 3.689 3.818 Å, 90.00 90.00 90.00°
Space group P4/mmm (No. 123)
Unique sites:
1 Mn 0.000 0.000 0.000
2 Ni 0.000 0.500 0.500
3 H 0.500 0.500 0.500
4 Rh 0.500 0.500 0.000

---

It is run two that is the most stable of them.

---

Run one
Here is crystalline Mn2NiHRu at its relaxed geometry from Alexandria via LeMat-Bulk. Energies are from GGA-PBE.

Computed properties:
Theoretical density: 9.20 g cm⁻³
Crystal system: tetragonal

Cell: 3.627 3.627 3.712 Å, 90.00 90.00 90.00°
Space group P4/mmm (No. 123)
Unique sites:
1 Mn 0.000 0.500 0.000
2 Ni 0.000 0.000 0.500
3 H 0.500 0.500 0.000
4 Ru 0.500 0.500 0.500

---

Run two
Here is crystalline Mn2NiHRu at its relaxed geometry from Alexandria via LeMat-Bulk. Energies are from GGA-PBE.

Computed properties:
Theoretical density: 9.03 g cm⁻³
Crystal system: tetragonal

Cell: 3.700 3.700 3.635 Å, 90.00 90.00 90.00°
Space group P4/mmm (No. 123)
Unique sites:
1 Mn 0.000 0.500 0.000
2 Ni 0.000 0.000 0.500
3 H 0.000 0.000 0.000
4 Ru 0.500 0.500 0.500

---

It is run two that is the most stable of them.

---

Run one
Here is crystalline Ta2MnNiH at its relaxed geometry from Alexandria via LeMat-Bulk. Energies are from GGA-PBE.

Computed properties:
Theoretical density: 13.16 g cm⁻³
Crystal system: tetragonal

Cell: 4.249 4.249 3.332 Å, 90.00 90.00 90.00°
Space group P4/mmm (No. 123)
Unique sites:
1 Ta 0.000 0.500 0.000
2 Mn 0.000 0.000 0.500
3 Ni 0.500 0.500 0.500
4 H 0.500 0.500 0.000

---

Run two
Here is crystalline Ta2MnNiH at its relaxed geometry from Alexandria via LeMat-Bulk. Energies are from GGA-PBE.

Computed properties:
Theoretical density: 13.15 g cm⁻³
Crystal system: tetragonal

Cell: 4.139 4.139 3.513 Å, 90.00 90.00 90.00°
Space group P4/mmm (No. 123)
Unique sites:
1 Ta 0.000 0.500 0.000
2 Mn 0.000 0.000 0.500
3 Ni 0.500 0.500 0.500
4 H 0.000 0.000 0.000

---

It is run one that is the most stable of them.

---

Run one
Here is crystalline TiMnNi2H at its relaxed geometry from Alexandria via LeMat-Bulk. Energies are from GGA-PBE.

Computed properties:
Theoretical density: 7.18 g cm⁻³
Crystal system: tetragonal

Cell: 3.588 3.588 3.974 Å, 90.00 90.00 90.00°
Space group P4/mmm (No. 123)
Unique sites:
1 Ti 0.000 0.000 0.000
2 Mn 0.500 0.500 0.000
3 Ni 0.000 0.500 0.500
4 H 0.000 0.000 0.500

---

Run two
Here is crystalline TiMnNi2H at its relaxed geometry from Alexandria via LeMat-Bulk. Energies are from GGA-PBE.

Computed properties:
Theoretical density: 7.27 g cm⁻³
Crystal system: tetragonal

Cell: 3.612 3.612 3.872 Å, 90.00 90.00 90.00°
Space group P4/mmm (No. 123)
Unique sites:
1 Ti 0.000 0.000 0.000
2 Mn 0.500 0.500 0.000
3 Ni 0.000 0.500 0.500
4 H 0.500 0.500 0.500

---

It is run two that is the most stable of them.

---

Run one
Here is crystalline Mn2VNiH at its relaxed geometry from Alexandria via LeMat-Bulk. Energies are from GGA-PBE.

Computed properties:
Theoretical density: 7.15 g cm⁻³
Crystal system: tetragonal

Cell: 3.910 3.910 3.352 Å, 90.00 90.00 90.00°
Space group P4/mmm (No. 123)
Unique sites:
1 Mn 0.000 0.500 0.000
2 V 0.000 0.000 0.500
3 Ni 0.500 0.500 0.500
4 H 0.500 0.500 0.000

---

Run two
Here is crystalline Mn2VNiH at its relaxed geometry from Alexandria via LeMat-Bulk. Energies are from GGA-PBE.

Computed properties:
Theoretical density: 5.76 g cm⁻³
Crystal system: tetragonal

Cell: 4.651 4.651 2.937 Å, 90.00 90.00 90.00°
Space group P4/mmm (No. 123)
Unique sites:
1 Mn 0.000 0.500 0.000
2 V 0.000 0.000 0.500
3 Ni 0.500 0.500 0.000
4 H 0.500 0.500 0.500

---

Run three
Here is crystalline Mn2VNiH at its relaxed geometry from Alexandria via LeMat-Bulk. Energies are from GGA-PBE.

Computed properties:
Theoretical density: 7.57 g cm⁻³
Crystal system: tetragonal

Cell: 3.623 3.623 3.685 Å, 90.00 90.00 90.00°
Space group P4/mmm (No. 123)
Unique sites:
1 Mn 0.000 0.500 0.000
2 V 0.000 0.000 0.500
3 Ni 0.500 0.500 0.500
4 H 0.000 0.000 0.000

---

It is run one that is the most stable of them.

---

Run one
Here is crystalline Mn2NiHW at its relaxed geometry from Alexandria via LeMat-Bulk. Energies are from GGA-PBE.

Computed properties:
Theoretical density: 11.47 g cm⁻³
Crystal system: tetragonal

Cell: 3.661 3.661 3.819 Å, 90.00 90.00 90.00°
Space group P4/mmm (No. 123)
Unique sites:
1 Mn 0.000 0.500 0.000
2 Ni 0.000 0.000 0.500
3 H 0.500 0.500 0.000
4 W 0.500 0.500 0.500

---

Run two
Here is crystalline Mn2NiHW at its relaxed geometry from Alexandria via LeMat-Bulk. Energies are from GGA-PBE.

Computed properties:
Theoretical density: 11.64 g cm⁻³
Crystal system: tetragonal

Cell: 3.767 3.767 3.555 Å, 90.00 90.00 90.00°
Space group P4/mmm (No. 123)
Unique sites:
1 Mn 0.000 0.500 0.000
2 Ni 0.000 0.000 0.500
3 H 0.000 0.000 0.000
4 W 0.500 0.500 0.500

---

It is run two that is the most stable of them.

---

Run one
Here is crystalline MnZnNi2H at its relaxed geometry from Alexandria via LeMat-Bulk. Energies are from GGA-PBE.

Computed properties:
Theoretical density: 7.66 g cm⁻³
Crystal system: tetragonal

Cell: 3.691 3.691 3.798 Å, 90.00 90.00 90.00°
Space group P4/mmm (No. 123)
Unique sites:
1 Mn 0.000 0.000 0.000
2 Zn 0.500 0.500 0.000
3 Ni 0.000 0.500 0.500
4 H 0.500 0.500 0.500

---

Run two
Here is crystalline MnZnNi2H at its relaxed geometry from Alexandria via LeMat-Bulk. Energies are from GGA-PBE.

Computed properties:
Theoretical density: 7.82 g cm⁻³
Crystal system: tetragonal

Cell: 3.691 3.691 3.722 Å, 90.00 90.00 90.00°
Space group P4/mmm (No. 123)
Unique sites:
1 Mn 0.000 0.000 0.000
2 Zn 0.500 0.500 0.000
3 Ni 0.000 0.500 0.500
4 H 0.000 0.000 0.500

---

It is run two that is the most stable of them.